# MgTlNi4, single point on PBEsol structure, DFT SCAN
data_MgTlNi4
_symmetry_space_group_name_H-M 'F -4 3 m'
_symmetry_Int_Tables_number 216
_symmetry_space_group_name_Hall 'F -4 2 3'
_cell_length_a 6.809
_cell_length_b 6.809
_cell_length_c 6.809
_cell_angle_alpha 90.00
_cell_angle_beta 90.00
_cell_angle_gamma 90.00
loop_
_atom_site_label
_atom_site_fract_x
_atom_site_fract_y
_atom_site_fract_z
Mg1 0.000 0.000 0.000
Tl1 0.250 0.250 0.750
Ni1 0.125 0.125 0.375
# Calculated volume = 13.15 A^3/atom
# DFT total energy = -23.6430 eV per atom
# Calculated formation energy = 0.0279 eV/atom